Computed, not measured: Nb2AlFeC after structural relaxation at the PBE level of DFT.

ΔH_f (0 K)	1.48	eV per atom
crystal system	tetragonal

abc: 4.5052 4.5052 4.2968
angles: 90.00 90.00 90.00
Last column: nearest neighbours and their distance in Å.
Fractional positions:
Nb 0.0000 0.5000 0.0000  2 Fe 2.25
Nb 0.5000 0.0000 0.0000  2 Fe 2.25
Al 0.0000 0.0000 0.5000  2 Fe 2.15
Fe 0.0000 0.0000 0.0000  2 Al 2.15, 4 Nb 2.25
C 0.5000 0.5000 0.5000  8 Nb 3.11, 4 Al 3.19

Computed, not measured: NdAlFeC after structural relaxation at the PBE level of DFT.

ΔH_f (0 K)	0.01	eV per atom
crystal system	tetragonal

abc: 5.7362 5.7362 5.7362
angles: 143.26 143.26 52.93
Last column: nearest neighbours and their distance in Å.
Fractional positions:
Nd 0.0000 0.0000 0.0000  4 C 2.56
Al 0.3068 0.3068 0.0000  1 C 2.10
Fe 0.6921 0.6921 0.0000  1 C 1.86
C 0.5109 0.5109 0.0000  1 Fe 1.86

Computed, not measured: NdAl2Fe2C after structural relaxation at the PBE level of DFT.

ΔH_f (0 K)	-0.28	eV per atom
crystal system	tetragonal

abc: 3.8894 3.8894 5.7040
angles: 90.00 90.00 90.00
Last column: nearest neighbours and their distance in Å.
Fractional positions:
Nd 0.0000 0.0000 0.0000  2 C 2.85, 8 Al 3.07
Al 0.5000 0.5000 0.2405  4 Fe 2.44
Al 0.5000 0.5000 0.7595  4 Fe 2.44
Fe 0.0000 0.5000 0.5000  2 C 1.94
Fe 0.5000 0.0000 0.5000  2 C 1.94
C 0.0000 0.0000 0.5000  4 Fe 1.94

Computed, not measured: NdAlFe2C after structural relaxation at the PBE level of DFT.

ΔH_f (0 K)	-0.19	eV per atom
crystal system	orthorhombic

abc: 5.7188 5.7188 6.7998
angles: 90.00 90.00 138.10
Last column: nearest neighbours and their distance in Å.
Fractional positions:
Nd 0.0550 0.9450 0.7500  4 C 2.72, 1 Al 3.02
Nd 0.9450 0.0550 0.2500  4 C 2.72, 1 Al 3.02
Al 0.2277 0.7723 0.2500  6 Fe 2.47-2.50
Al 0.7723 0.2277 0.7500  6 Fe 2.47-2.50
Fe 0.3390 0.6610 0.5740  1 C 1.79
Fe 0.3390 0.6610 0.9260  1 C 1.79
Fe 0.6610 0.3390 0.0740  1 C 1.79
Fe 0.6610 0.3390 0.4260  1 C 1.79
C 0.5000 0.5000 0.0000  2 Fe 1.79
C 0.5000 0.5000 0.5000  2 Fe 1.79

Computed, not measured: Nd2Al2Fe2C after structural relaxation at the PBE level of DFT.

ΔH_f (0 K)	-0.30	eV per atom
crystal system	monoclinic

abc: 5.9162 5.9162 7.2892
angles: 127.21 127.21 40.87
Last column: nearest neighbours and their distance in Å.
Fractional positions:
Nd 0.0558 0.0558 0.3252  2 C 2.70
Nd 0.9442 0.9442 0.6748  2 C 2.70
Al 0.3291 0.3291 0.8950  3 Fe 2.39-2.42
Al 0.6709 0.6709 0.1050  3 Fe 2.39-2.42
Fe 0.3106 0.3106 0.2080  1 C 1.78
Fe 0.6894 0.6894 0.7920  1 C 1.78
C 0.5000 0.5000 0.5000  2 Fe 1.78

Computed, not measured: AlFe2NiC after structural relaxation at the PBE level of DFT.

ΔH_f (0 K)	-0.17	eV per atom
crystal system	tetragonal

abc: 3.7413 3.7413 3.7886
angles: 90.00 90.00 90.00
Last column: nearest neighbours and their distance in Å.
Fractional positions:
Al 0.0000 0.0000 0.0000  4 Ni 2.65, 8 Fe 2.66
Fe 0.0000 0.5000 0.5000  2 C 1.87
Fe 0.5000 0.0000 0.5000  2 C 1.87
Ni 0.5000 0.5000 0.0000  2 C 1.89
C 0.5000 0.5000 0.5000  4 Fe 1.87, 2 Ni 1.89

Density for every record listed, in sequence, given in kg/m³: 5344 5916 6195 6595 6070 6556.
Total magnetic moment for every record listed, in sequence, given in μB per atom: 0.000 0.607 0.000 0.308 0.000 0.436.
Uncorrected energy for every record listed, in sequence, given in eV/cell: -34.17 -26.15 -40.09 -71.25 -45.26 -36.50.